No. 1
VASP calculation (PBE) on a relaxed Mg2GePt crystal.

Cell lengths 7.4209, 7.4209, 5.6506 Å; angles 90.00, 90.00, 90.00 degrees
With the nearest neighbours (Å) after each atom.
Space group I-42d (No. 122)
Inequivalent atoms, fractional coordinates:
Mg: 0.2292 0.2500 0.1250 x8  2 Pt 2.61, 2 Ge 2.82, 2 Mg 2.84
Ge: 0.0000 0.0000 0.5000 x4  4 Mg 2.82, 2 Pt 2.83
Pt: 0.0000 0.0000 0.0000 x4  4 Mg 2.61, 2 Ge 2.83

DFT total energy = -3.61 eV/atom
ΔE_f = -56 kJ/mol of formula units



No. 2
VASP calculation (PBE) on a relaxed MgGe2Pt6 crystal.

Cell lengths 3.4966, 11.7020, 7.2828 Å; angles 90.00, 90.00, 90.00 degrees
With the nearest neighbours (Å) after each atom.
Space group Amm2 (No. 38)
Inequivalent atoms, fractional coordinates:
Mg: 0.0000 0.0000 0.0000 x2  7 Pt 2.76-2.92
Ge: 0.5000 0.1381 0.7219 x4  4 Pt 2.46-2.54
Pt: 0.0000 0.0000 0.5997 x2  4 Ge 2.54, 4 Pt 2.80-2.84
Pt: 0.0000 0.1827 0.3514 x4  7 Pt 2.79-2.80, 2 Ge 2.89
Pt: 0.5000 0.0000 0.2928 x2  8 Pt 2.72-2.84, 2 Mg 2.76
Pt: 0.5000 0.1790 0.0534 x4  2 Ge 2.46-2.47, 1 Pt 2.72, 2 Mg 2.76

DFT total energy = -5.58 eV/atom
ΔE_f = -302 kJ/mol of formula units



No. 3
VASP calculation (PBE) on a relaxed Mg2GePt crystal.

Cell lengths 3.2682, 3.2682, 6.5348 Å; angles 90.00, 90.00, 90.00 degrees
With the nearest neighbours (Å) after each atom.
Space group P4/mmm (No. 123)
Inequivalent atoms, fractional coordinates:
Mg: 0.0000 0.0000 0.2286 x2  4 Pt 2.75, 4 Ge 2.91, 1 Mg 2.99
Ge: 0.5000 0.5000 0.5000 x1  8 Mg 2.91
Pt: 0.5000 0.5000 0.0000 x1  8 Mg 2.75

DFT total energy = -3.95 eV/atom
ΔE_f = -189 kJ/mol of formula units



No. 4
VASP calculation (PBE) on a relaxed MgGePt crystal.

Cell lengths 3.4732, 3.4732, 8.3921 Å; angles 90.00, 90.00, 90.00 degrees
With the nearest neighbours (Å) after each atom.
Space group I4mm (No. 107)
Inequivalent atoms, fractional coordinates:
Mg: 0.0000 0.0000 0.0000 x2  5 Ge 2.65-2.90, 5 Pt 2.73-2.86
Ge: 0.0000 0.0000 0.3162 x2  5 Mg 2.65-2.90, 4 Pt 2.73
Pt: 0.0000 0.0000 0.6753 x2  5 Mg 2.73-2.86, 5 Ge 2.73-3.01

DFT total energy = -4.55 eV/atom
ΔE_f = -136 kJ/mol of formula units



No. 5
VASP calculation (PBE) on a relaxed Mg2GePt crystal.

Cell lengths 4.1860, 4.1860, 3.8848 Å; angles 90.00, 90.00, 90.00 degrees
With the nearest neighbours (Å) after each atom.
Space group P4/mmm (No. 123)
Inequivalent atoms, fractional coordinates:
Mg: 0.0000 0.5000 0.0000 x2  4 Pt 2.86, 4 Ge 2.86, 4 Mg 2.96
Ge: 0.0000 0.0000 0.5000 x1  8 Mg 2.86, 4 Pt 2.96
Pt: 0.5000 0.5000 0.5000 x1  8 Mg 2.86, 4 Ge 2.96

DFT total energy = -3.94 eV/atom
ΔE_f = -184 kJ/mol of formula units



No. 6
VASP calculation (PBE) on a relaxed MgGePt2 crystal.

Cell lengths 5.8934, 7.2863, 6.0615 Å; angles 90.00, 90.00, 90.00 degrees
With the nearest neighbours (Å) after each atom.
Space group Pnma (No. 62)
Inequivalent atoms, fractional coordinates:
Mg: 0.0282 0.2500 0.2031 x4  6 Pt 2.69-2.83, 2 Ge 2.80-2.97, 2 Mg 3.00
Ge: 0.1152 0.7500 0.3558 x4  6 Pt 2.54-2.65, 1 Mg 2.80
Pt: 0.2433 0.0480 0.5433 x8  3 Ge 2.54-2.65, 3 Mg 2.69-2.83

DFT total energy = -5.21 eV/atom
ΔE_f = -244 kJ/mol of formula units



No. 7
VASP calculation (PBE) on a relaxed Pu2MgGe4Pt3 crystal.

Cell lengths 4.2321, 4.2321, 10.8658 Å; angles 90.00, 90.00, 90.00 degrees
With the nearest neighbours (Å) after each atom.
Space group P-4m2 (No. 115)
Inequivalent atoms, fractional coordinates:
Pu: 0.0000 0.5000 0.2457 x2  8 Ge 3.21-3.41, 6 Pt 3.26-3.48, 2 Mg 3.48
Mg: 0.0000 0.0000 0.5000 x1  4 Ge 2.65
Ge: 0.0000 0.0000 0.0000 x1  4 Pt 2.52
Ge: 0.0000 0.5000 0.6464 x2  3 Pt 2.47-2.65, 2 Mg 2.65
Ge: 0.5000 0.5000 0.0000 x1  4 Pt 2.52
Pt: 0.0000 0.5000 0.8733 x2  5 Ge 2.47-2.52
Pt: 0.5000 0.5000 0.5000 x1  4 Ge 2.65

DFT total energy = -7.33 eV/atom
ΔE_f = -620 kJ/mol of formula units



No. 8
VASP calculation (PBE) on a relaxed PuMgGe2Pt5 crystal.

Cell lengths 4.2326, 4.2326, 9.1053 Å; angles 90.00, 90.00, 90.00 degrees
With the nearest neighbours (Å) after each atom.
Space group P4/mmm (No. 123)
Inequivalent atoms, fractional coordinates:
Pu: 0.0000 0.0000 0.0000 x1  12 Pt 2.99
Mg: 0.0000 0.0000 0.5000 x1  8 Ge 3.22, 8 Pt 3.23
Ge: 0.5000 0.5000 0.3700 x2  1 Ge 2.37, 4 Pt 2.46
Pt: 0.0000 0.5000 0.2316 x4  2 Ge 2.46
Pt: 0.5000 0.5000 0.0000 x1  8 Pt 2.99, 4 Pu 2.99

DFT total energy = -6.71 eV/atom
ΔE_f = -487 kJ/mol of formula units



No. 9
VASP calculation (PBE) on a relaxed Pu2MgGe3Pt4 crystal.

Cell lengths 4.1594, 4.1594, 11.1079 Å; angles 90.00, 90.00, 90.00 degrees
With the nearest neighbours (Å) after each atom.
Space group P-4m2 (No. 115)
Inequivalent atoms, fractional coordinates:
Pu: 0.0000 0.5000 0.2445 x2  8 Pt 3.19-3.42, 6 Ge 3.19-3.52, 2 Mg 3.52
Mg: 0.0000 0.0000 0.5000 x1  4 Pt 2.63, 4 Ge 2.94
Ge: 0.0000 0.5000 0.8670 x2  5 Pt 2.46-2.55
Ge: 0.5000 0.5000 0.5000 x1  4 Pt 2.63, 4 Mg 2.94
Pt: 0.0000 0.0000 0.0000 x1  4 Ge 2.55
Pt: 0.0000 0.5000 0.6453 x2  3 Ge 2.46-2.63, 2 Mg 2.63
Pt: 0.5000 0.5000 0.0000 x1  4 Ge 2.55

DFT total energy = -7.54 eV/atom
ΔE_f = -690 kJ/mol of formula units



No. 10
VASP calculation (PBE) on a relaxed Pu2MgGePt6 crystal.

Cell lengths 5.5657, 5.5657, 23.6976 Å; angles 90.00, 90.00, 120.00 degrees
With the nearest neighbours (Å) after each atom.
Space group R-3m (No. 166, hexagonal axes)
Inequivalent atoms, fractional coordinates:
Pu: 0.0000 0.0000 0.2001 x6  9 Pt 3.05-3.27, 3 Mg 3.31
Mg: 0.0000 0.0000 0.5000 x3  6 Pt 2.59
Ge: 0.0000 0.0000 0.0000 x3  6 Pt 2.50
Pt: 0.0036 0.5018 0.2530 x18  1 Ge 2.50, 1 Mg 2.59, 2 Pt 2.75

DFT total energy = -7.65 eV/atom
ΔE_f = -523 kJ/mol of formula units



No. 11
VASP calculation (PBE) on a relaxed Sm2MgGePt6 crystal.

Cell lengths 5.4977, 6.5161, 6.8495 Å; angles 80.35, 66.36, 65.09 degrees
With the nearest neighbours (Å) after each atom.
Space group P-1 (No. 2)
Inequivalent atoms, fractional coordinates:
Sm: 0.0404 0.2178 0.2014 x2  7 Pt 2.98-3.29
Mg: 0.5000 0.5000 0.0000 x1  6 Pt 2.60-2.61
Ge: 0.5000 0.0000 0.5000 x1  6 Pt 2.50-2.51
Pt: 0.0064 0.2285 0.7554 x2  1 Ge 2.51, 1 Mg 2.61, 4 Pt 2.73-2.80
Pt: 0.3400 0.4106 0.4076 x2  1 Ge 2.50, 1 Mg 2.61, 2 Pt 2.73
Pt: 0.4911 0.7709 0.2447 x2  1 Ge 2.51, 1 Mg 2.60, 4 Pt 2.73-2.80

DFT total energy = -5.96 eV/atom
ΔE_f = -742 kJ/mol of formula units



No. 12
VASP calculation (PBE) on a relaxed SmMgGePt crystal.

Cell lengths 6.8945, 6.8945, 6.8945 Å; angles 90.00, 90.00, 90.00 degrees
With the nearest neighbours (Å) after each atom.
Space group F-43m (No. 216)
Inequivalent atoms, fractional coordinates:
Sm: 0.0000 0.0000 0.0000 x4  4 Ge 2.99, 4 Pt 2.99
Mg: 0.0000 0.0000 0.5000 x4  4 Ge 2.99, 4 Pt 2.99
Ge: 0.2500 0.2500 0.7500 x4  4 Sm 2.99, 4 Mg 2.99
Pt: 0.2500 0.2500 0.2500 x4  4 Mg 2.99, 4 Sm 2.99

DFT total energy = -4.96 eV/atom
ΔE_f = -275 kJ/mol of formula units



No. 13
VASP calculation (PBE) on a relaxed Sm2MgGe4Pt3 crystal.

Cell lengths 4.2311, 4.2311, 10.9132 Å; angles 90.00, 90.00, 90.00 degrees
With the nearest neighbours (Å) after each atom.
Space group P-4m2 (No. 115)
Inequivalent atoms, fractional coordinates:
Sm: 0.0000 0.5000 0.2479 x2  8 Ge 3.21-3.43, 6 Pt 3.27-3.47, 2 Mg 3.47
Mg: 0.0000 0.0000 0.5000 x1  4 Ge 2.65
Ge: 0.0000 0.0000 0.0000 x1  4 Pt 2.53
Ge: 0.0000 0.5000 0.6465 x2  3 Pt 2.47-2.65, 2 Mg 2.65
Ge: 0.5000 0.5000 0.0000 x1  4 Pt 2.53
Pt: 0.0000 0.5000 0.8728 x2  5 Ge 2.47-2.53
Pt: 0.5000 0.5000 0.5000 x1  4 Ge 2.65

DFT total energy = -5.63 eV/atom
ΔE_f = -834 kJ/mol of formula units



No. 14
VASP calculation (PBE) on a relaxed Sm2MgGe3Pt4 crystal.

Cell lengths 4.3063, 4.3063, 10.4654 Å; angles 90.00, 90.00, 90.00 degrees
With the nearest neighbours (Å) after each atom.
Space group P-4m2 (No. 115)
Inequivalent atoms, fractional coordinates:
Sm: 0.0000 0.5000 0.2439 x2  6 Ge 3.27-3.44, 8 Pt 3.28-3.34, 2 Mg 3.44
Mg: 0.0000 0.0000 0.5000 x1  4 Pt 2.60
Ge: 0.0000 0.5000 0.8706 x2  5 Pt 2.43-2.54
Ge: 0.5000 0.5000 0.5000 x1  4 Pt 2.60
Pt: 0.0000 0.0000 0.0000 x1  4 Ge 2.54
Pt: 0.0000 0.5000 0.6386 x2  3 Ge 2.43-2.60, 2 Mg 2.60
Pt: 0.5000 0.5000 0.0000 x1  4 Ge 2.54

DFT total energy = -5.83 eV/atom
ΔE_f = -894 kJ/mol of formula units



No. 15
VASP calculation (PBE) on a relaxed SmMgGe2Pt5 crystal.

Cell lengths 4.2259, 4.2259, 9.1422 Å; angles 90.00, 90.00, 90.00 degrees
With the nearest neighbours (Å) after each atom.
Space group P4/mmm (No. 123)
Inequivalent atoms, fractional coordinates:
Sm: 0.0000 0.0000 0.0000 x1  12 Pt 2.99-3.00
Mg: 0.0000 0.0000 0.5000 x1  8 Ge 3.21, 8 Pt 3.23
Ge: 0.5000 0.5000 0.3704 x2  1 Ge 2.37, 4 Pt 2.46
Pt: 0.0000 0.5000 0.2324 x4  2 Ge 2.46
Pt: 0.5000 0.5000 0.0000 x1  4 Sm 2.99, 8 Pt 3.00

DFT total energy = -5.78 eV/atom
ΔE_f = -603 kJ/mol of formula units



No. 16
VASP calculation (PBE) on a relaxed SmMgGe2Pt2 crystal.

Cell lengths 4.3655, 4.3655, 6.9014 Å; angles 90.00, 90.00, 120.00 degrees
With the nearest neighbours (Å) after each atom.
Space group P-3m1 (No. 164)
Inequivalent atoms, fractional coordinates:
Sm: 0.0000 0.0000 0.0000 x1  6 Ge 3.18, 6 Pt 3.27, 2 Mg 3.45
Mg: 0.0000 0.0000 0.5000 x1  6 Pt 2.86, 6 Ge 2.94
Ge: 0.3333 0.6667 0.7181 x2  3 Pt 2.52
Pt: 0.3333 0.6667 0.3028 x2  3 Ge 2.52

DFT total energy = -5.48 eV/atom
ΔE_f = -505 kJ/mol of formula units



No. 17
VASP calculation (PBE) on a relaxed SrMgGe2Pt2 crystal.

Cell lengths 4.4031, 4.4031, 7.3090 Å; angles 90.00, 90.00, 120.00 degrees
With the nearest neighbours (Å) after each atom.
Space group P-3m1 (No. 164)
Inequivalent atoms, fractional coordinates:
Sr: 0.0000 0.0000 0.0000 x1  6 Ge 3.36, 6 Pt 3.46, 2 Mg 3.65
Mg: 0.0000 0.0000 0.5000 x1  6 Pt 2.86, 6 Ge 2.93
Ge: 0.3333 0.6667 0.6991 x2  4 Pt 2.55-2.77
Pt: 0.3333 0.6667 0.3208 x2  4 Ge 2.55-2.77

DFT total energy = -4.90 eV/atom
ΔE_f = -461 kJ/mol of formula units



No. 18
VASP calculation (PBE) on a relaxed SrMgGe2Pt crystal.

Cell lengths 4.3138, 4.3138, 11.2574 Å; angles 90.00, 90.00, 90.00 degrees
With the nearest neighbours (Å) after each atom.
Space group I-4m2 (No. 119)
Inequivalent atoms, fractional coordinates:
Sr: 0.0000 0.0000 0.0000 x2  8 Ge 3.31, 4 Mg 3.55, 4 Pt 3.55
Mg: 0.0000 0.5000 0.7500 x2  4 Ge 2.64
Ge: 0.0000 0.0000 0.3859 x4  1 Ge 2.57, 2 Mg 2.64, 2 Pt 2.64
Pt: 0.0000 0.5000 0.2500 x2  4 Ge 2.64

DFT total energy = -4.36 eV/atom
ΔE_f = -314 kJ/mol of formula units



No. 19
VASP calculation (PBE) on a relaxed Tb2MgGe4Pt3 crystal.

Cell lengths 4.1623, 4.1623, 11.0697 Å; angles 90.00, 90.00, 90.00 degrees
With the nearest neighbours (Å) after each atom.
Space group P-4m2 (No. 115)
Inequivalent atoms, fractional coordinates:
Tb: 0.0000 0.5000 0.2487 x2  8 Ge 3.15-3.47, 6 Pt 3.23-3.45, 2 Mg 3.45
Mg: 0.5000 0.5000 0.0000 x1  4 Ge 2.64, 4 Pt 2.94
Ge: 0.0000 0.0000 0.5000 x1  4 Pt 2.54
Ge: 0.0000 0.5000 0.8530 x2  3 Pt 2.46-2.64, 2 Mg 2.64
Ge: 0.5000 0.5000 0.5000 x1  4 Pt 2.54
Pt: 0.0000 0.0000 0.0000 x1  4 Ge 2.64, 4 Mg 2.94
Pt: 0.0000 0.5000 0.6312 x2  5 Ge 2.46-2.54

DFT total energy = -5.59 eV/atom
ΔE_f = -812 kJ/mol of formula units



No. 20
VASP calculation (PBE) on a relaxed TbMgGePt crystal.

Cell lengths 6.8215, 6.8215, 6.8215 Å; angles 90.00, 90.00, 90.00 degrees
With the nearest neighbours (Å) after each atom.
Space group F-43m (No. 216)
Inequivalent atoms, fractional coordinates:
Tb: 0.0000 0.0000 0.0000 x4  4 Ge 2.95, 4 Pt 2.95
Mg: 0.0000 0.0000 0.5000 x4  4 Ge 2.95, 4 Pt 2.95
Ge: 0.2500 0.2500 0.2500 x4  4 Tb 2.95, 4 Mg 2.95
Pt: 0.2500 0.2500 0.7500 x4  4 Tb 2.95, 4 Mg 2.95

DFT total energy = -4.97 eV/atom
ΔE_f = -289 kJ/mol of formula units



No. 21
VASP calculation (PBE) on a relaxed TbMgGe2Pt5 crystal.

Cell lengths 4.1527, 4.1527, 8.9861 Å; angles 90.00, 90.00, 90.00 degrees
With the nearest neighbours (Å) after each atom.
Space group P4/mmm (No. 123)
Inequivalent atoms, fractional coordinates:
Tb: 0.0000 0.0000 0.0000 x1  8 Ge 3.18, 8 Pt 3.28
Mg: 0.0000 0.0000 0.5000 x1  12 Pt 2.85-2.94
Ge: 0.5000 0.5000 0.1349 x2  1 Ge 2.43, 4 Pt 2.47
Pt: 0.0000 0.5000 0.2829 x4  2 Ge 2.47
Pt: 0.5000 0.5000 0.5000 x1  8 Pt 2.85, 4 Mg 2.94

DFT total energy = -5.85 eV/atom
ΔE_f = -673 kJ/mol of formula units



No. 22
VASP calculation (PBE) on a relaxed Th2MgGe3Pt4 crystal.

Cell lengths 4.2780, 4.2780, 10.7277 Å; angles 90.00, 90.00, 90.00 degrees
With the nearest neighbours (Å) after each atom.
Space group P-4m2 (No. 115)
Inequivalent atoms, fractional coordinates:
Th: 0.0000 0.5000 0.2391 x2  6 Ge 3.24-3.52, 8 Pt 3.29-3.34, 2 Mg 3.52
Mg: 0.0000 0.0000 0.5000 x1  4 Pt 2.62
Ge: 0.0000 0.5000 0.8703 x2  5 Pt 2.46-2.55
Ge: 0.5000 0.5000 0.5000 x1  4 Pt 2.62
Pt: 0.0000 0.0000 0.0000 x1  4 Ge 2.55
Pt: 0.0000 0.5000 0.6414 x2  3 Ge 2.46-2.62, 2 Mg 2.62
Pt: 0.5000 0.5000 0.0000 x1  4 Ge 2.55

DFT total energy = -6.36 eV/atom
ΔE_f = -887 kJ/mol of formula units



No. 23
VASP calculation (PBE) on a relaxed Th2MgGePt6 crystal.

Cell lengths 5.6659, 5.6701, 8.5077 Å; angles 70.54, 89.91, 60.05 degrees
With the nearest neighbours (Å) after each atom.
Space group P-1 (No. 2)
Inequivalent atoms, fractional coordinates:
Th: 0.2084 0.0823 0.1283 x2  6 Pt 3.00-3.01
Mg: 0.5000 0.5000 0.0000 x1  6 Pt 2.58-2.59
Ge: 0.0000 0.5000 0.5000 x1  6 Pt 2.52-2.53
Pt: 0.2500 0.0013 0.7441 x2  1 Ge 2.53, 1 Mg 2.59, 2 Pt 2.83
Pt: 0.2504 0.5013 0.7454 x2  1 Ge 2.53, 1 Mg 2.58, 2 Pt 2.83
Pt: 0.2508 0.4982 0.2545 x2  1 Ge 2.52, 1 Mg 2.58

DFT total energy = -6.52 eV/atom
ΔE_f = -761 kJ/mol of formula units



No. 24
VASP calculation (PBE) on a relaxed ThMgGe2Pt5 crystal.

Cell lengths 4.2681, 4.2681, 8.7493 Å; angles 90.00, 90.00, 90.00 degrees
With the nearest neighbours (Å) after each atom.
Space group P4/mmm (No. 123)
Inequivalent atoms, fractional coordinates:
Th: 0.0000 0.0000 0.0000 x1  8 Ge 3.26, 8 Pt 3.28
Mg: 0.0000 0.0000 0.5000 x1  12 Pt 2.85-3.02
Ge: 0.5000 0.5000 0.1399 x2  1 Ge 2.45, 4 Pt 2.48
Pt: 0.0000 0.5000 0.2842 x4  2 Ge 2.48
Pt: 0.5000 0.5000 0.5000 x1  8 Pt 2.85, 4 Mg 3.02, 2 Ge 3.15

DFT total energy = -6.16 eV/atom
ΔE_f = -670 kJ/mol of formula units